[1]
A relaxed CaZrBr2 crystal, computed with GGA-PBE.

Cell: 10.374 10.374 10.374 Å, 19.92 19.92 19.92°
Fractional coordinates of all 4 atoms:
Br: 0.897 0.897 0.897
Zr: 0.500 0.500 0.500
Br: 0.103 0.103 0.103
Ca: 0.000 0.000 0.000

Results
ΔE to the lowest computed polymorph = 13.5 kJ/mol of atoms
DFT total energy = -4.236 eV/atom
total magnetization = 0.0000 μB per atom
N(E_F) = 3.57 states/eV per cell
space group = R-3m, No. 166
formation energy from raw total energies = -0.762 eV/atom

***

[2]
A relaxed CaZrBr2 crystal, computed with GGA-PBE.

Cell: 6.709 6.709 5.145 Å, 67.97 67.97 29.61°
Each line ends with the local moment (μB).
Fractional coordinates of all 4 atoms:
Zr: 0.264 0.264 0.210  0.64
Br: 0.965 0.965 0.043  0.01
Br: 0.767 0.767 0.741  0.00
Ca: 0.504 0.504 0.506  0.04

Results
ΔE to the lowest computed polymorph = 29.2 kJ/mol of atoms
DFT total energy = -4.074 eV/atom
total magnetization = 0.3005 μB per atom
N(E_F) = 2.99 states/eV per cell
space group = Cm, No. 8
formation energy from raw total energies = -0.600 eV/atom

***

[3]
A relaxed CaZr3Br crystal, computed with GGA-PBE.

Cell: 5.119 5.119 5.119 Å, 90.00 90.00 90.00°
Fractional coordinates of all 5 atoms:
Zr: 0.500 0.000 0.000
Zr: 0.000 0.000 0.500
Ca: 0.500 0.500 0.500
Zr: 0.000 0.500 0.000
Br: 0.000 0.000 0.000

Results
ΔE to the lowest computed polymorph = 0.0 kJ/mol of atoms
DFT total energy = -5.601 eV/atom
total magnetization = 0.0000 μB per atom
N(E_F) = 5.53 states/eV per cell
space group = Pm-3m, No. 221
formation energy from raw total energies = 0.263 eV/atom

***

[4]
A relaxed CaZr3Br crystal, computed with GGA-PBE.

Cell: 5.260 5.260 5.260 Å, 90.00 90.00 90.00°
Each line ends with the local moment (μB).
Fractional coordinates of all 5 atoms:
Zr: 0.000 0.000 0.500  0.29
Ca: 0.000 0.000 0.000  0.09
Zr: 0.000 0.500 0.000  0.33
Br: 0.500 0.500 0.500  -0.01
Zr: 0.500 0.000 0.000  0.31

Results
ΔE to the lowest computed polymorph = 132.3 kJ/mol of atoms
DFT total energy = -4.230 eV/atom
total magnetization = 0.3110 μB per atom
N(E_F) = 7.57 states/eV per cell
space group = Pm-3m, No. 221
formation energy from raw total energies = 1.634 eV/atom

***

[5]
A relaxed CaZrBr2 crystal, computed with GGA-PBE.

Cell: 5.434 3.557 5.567 Å, 71.34 90.00 90.00°
Fractional coordinates of all 4 atoms:
Ca: 0.000 0.562 0.501
Br: 0.500 0.193 0.240
Zr: 0.500 0.906 0.814
Br: 0.000 0.839 0.944

Results
ΔE to the lowest computed polymorph = 21.1 kJ/mol of atoms
DFT total energy = -4.158 eV/atom
total magnetization = 0.0002 μB per atom
N(E_F) = 4.31 states/eV per cell
space group = Amm2, No. 38
formation energy from raw total energies = -0.684 eV/atom

***

[6]
A relaxed Cd4Br3 crystal, computed with GGA-PBE.

Cell: 15.227 15.227 15.227 Å, 166.59 166.59 19.00°
Fractional coordinates of all 7 atoms:
Br: 0.692 0.692 0.000
Cd: 0.138 0.138 0.000
Cd: 0.428 0.428 0.000
Cd: 0.572 0.572 0.000
Br: 0.000 0.000 0.000
Br: 0.308 0.308 0.000
Cd: 0.862 0.862 0.000

Results
ΔE to the lowest computed polymorph = 0.0 kJ/mol of atoms
DFT total energy = -1.511 eV/atom
total magnetization = 0.0000 μB per atom
N(E_F) = 2.23 states/eV per cell
space group = I4/mmm, No. 139
formation energy from raw total energies = -0.271 eV/atom

***

[7]
A relaxed Cd3Br crystal, computed with GGA-PBE.

Cell: 3.772 3.772 8.639 Å, 90.00 90.00 120.00°
Fractional coordinates of all 4 atoms:
Cd: 0.000 0.000 0.500
Cd: 0.667 0.333 0.744
Cd: 0.667 0.333 0.256
Br: 0.000 0.000 0.000

Results
ΔE to the lowest computed polymorph = 2.7 kJ/mol of atoms
DFT total energy = -1.271 eV/atom
total magnetization = 0.0000 μB per atom
N(E_F) = 0.34 states/eV per cell
space group = P-6m2, No. 187
formation energy from raw total energies = -0.166 eV/atom

***

[8]
A relaxed Cd3Br crystal, computed with GGA-PBE.

Cell: 5.402 5.402 5.402 Å, 60.00 60.00 60.00°
Fractional coordinates of all 4 atoms:
Cd: 0.500 0.500 0.500
Cd: 0.250 0.250 0.250
Br: 0.000 0.000 0.000
Cd: 0.750 0.750 0.750

Results
ΔE to the lowest computed polymorph = 22.0 kJ/mol of atoms
DFT total energy = -1.070 eV/atom
total magnetization = 0.0000 μB per atom
N(E_F) = 4.17 states/eV per cell
space group = Fm-3m, No. 225
formation energy from raw total energies = 0.034 eV/atom

***

[9]
A relaxed CdBr8 crystal, computed with GGA-PBE.

Cell: 12.871 12.871 12.871 Å, 90.60 90.60 168.28°
Each line ends with the local moment (μB).
Fractional coordinates of all 9 atoms:
Br: 0.327 0.000 0.327  0.12
Br: 0.617 0.617 0.234  0.00
Br: 0.383 0.617 0.000  0.00
Br: 0.383 0.383 0.766  0.00
Cd: 0.000 0.000 0.000  0.00
Br: 0.617 0.383 0.000  0.00
Br: 0.673 0.000 0.673  0.12
Br: 0.000 0.327 0.327  0.12
Br: 0.000 0.673 0.673  0.12

Results
DFT total energy = -1.589 eV/atom
total magnetization = 0.0732 μB per atom
N(E_F) = 6.71 states/eV per cell
space group = I4/mmm, No. 139
formation energy from raw total energies = 0.000 eV/atom

***

[10]
A relaxed Cd3Br crystal, computed with GGA-PBE.

Cell: 5.336 5.336 4.138 Å, 90.00 90.00 112.59°
Fractional coordinates of all 4 atoms:
Cd: 0.500 0.000 0.500
Cd: 0.500 0.500 0.000
Br: 0.000 0.000 0.000
Cd: 0.000 0.500 0.500

Results
ΔE to the lowest computed polymorph = 12.1 kJ/mol of atoms
DFT total energy = -1.173 eV/atom
total magnetization = 0.0000 μB per atom
N(E_F) = 1.79 states/eV per cell
space group = Cmmm, No. 65
formation energy from raw total energies = -0.069 eV/atom

***

[11]
A relaxed CdBr2 crystal, computed with GGA-PBE.

Cell: 8.476 7.712 4.470 Å, 83.67 64.72 31.61°
Fractional coordinates of all 3 atoms:
Cd: 0.000 0.000 0.000
Br: 0.624 0.624 0.376
Br: 0.376 0.376 0.624

Results
DFT total energy = -2.126 eV/atom
total magnetization = 0.0000 μB per atom
N(E_F) = 0.00 states/eV per cell
space group = Fmmm, No. 69
formation energy from raw total energies = -0.706 eV/atom

***

[12]
A relaxed CdBr2 crystal, computed with GGA-PBE.

Cell: 4.665 4.665 9.319 Å, 90.00 90.00 120.00°
Fractional coordinates of all 6 atoms:
Br: 0.000 0.000 0.500
Cd: 0.333 0.667 0.250
Cd: 0.667 0.333 0.750
Br: 0.000 0.000 0.000
Br: 0.333 0.667 0.750
Br: 0.667 0.333 0.250

Results
DFT total energy = -1.854 eV/atom
total magnetization = 0.0000 μB per atom
N(E_F) = 4.47 states/eV per cell
space group = P6_3/mmc, No. 194
formation energy from raw total energies = -0.434 eV/atom